Tb8ErBi6 (GGA-PBE, relaxed); V = 33.41 Å³ per atom; total magnetic moment = 0.00 μB/cell; total DFT energy (no corrections) = -4.8503 eV/atom
1.0
-1.508 -7.499 0.477
4.852 -4.658 3.673
-3.791 -2.531 9.792
Tb Er Bi
8 1 6
Direct
0.543 0.214 0.363 Tb
0.786 0.120 0.637 Tb
0.120 0.457 0.637 Tb
0.667 0.667 0.000 Tb
0.333 0.333 0.000 Tb
0.880 0.543 0.363 Tb
0.214 0.880 0.363 Tb
0.457 0.786 0.637 Tb
0.000 0.000 0.000 Er
0.393 0.062 0.814 Bi
0.938 0.269 0.186 Bi
0.269 0.607 0.186 Bi
0.731 0.393 0.814 Bi
0.062 0.731 0.814 Bi
0.607 0.938 0.186 Bi